[1]
A plane-wave DFT calculation with PBE was carried out for Ti3Tc2Ag after structural relaxation.

* crystal system: tetragonal
* density of states at the Fermi level: 4.72 states/eV/cell
* E_form: -362.4 meV per atom

a b c (Å): 3.140 3.140 9.675
angles (deg): 90.00 90.00 90.00
Fractional positions:
Tc 0.500 0.500 0.164
Ti 0.000 0.000 0.000
Ti 0.000 0.000 0.693
Ag 0.500 0.500 0.500
Ti 0.000 0.000 0.307
Tc 0.500 0.500 0.836

[2]
A plane-wave DFT calculation with PBE was carried out for In5Hg4Pb3 after structural relaxation.

* crystal system: triclinic
* density of states at the Fermi level: 4.76 states/eV/cell
* E_form: 25.0 meV per atom

a b c (Å): 6.423 8.291 15.030
angles (deg): 133.24 72.46 139.46
Fractional positions:
In 0.215 0.446 0.986
Hg 0.014 0.181 0.344
In 0.785 0.554 0.014
In 0.386 0.676 0.847
Hg 0.986 0.819 0.656
In 0.614 0.324 0.153
Pb 0.511 0.869 0.689
Pb 0.000 0.000 0.500
In 0.500 0.000 0.500
Pb 0.489 0.131 0.311
Hg 0.894 0.681 0.834
Hg 0.106 0.319 0.166

[3]
A plane-wave DFT calculation with PBE was carried out for Mg2AlReAg after structural relaxation.

* crystal system: tetragonal
* density of states at the Fermi level: 4.09 states/eV/cell
* E_form: 825.0 meV per atom

a b c (Å): 5.043 4.763 5.043
angles (deg): 90.00 90.00 90.00
Fractional positions:
Ag 0.500 0.500 0.500
Al 0.000 0.500 0.000
Mg 0.500 0.000 0.000
Mg 0.000 0.000 0.500
Re 0.000 0.000 0.000

[4]
A plane-wave DFT calculation with PBE was carried out for DyHo2H after structural relaxation.

* crystal system: tetragonal
* energy above the most stable polymorph in this dataset: 308 meV per atom
* density of states at the Fermi level: 3.86 states/eV/cell

a b c (Å): 3.334 3.334 8.410
angles (deg): 90.00 90.00 90.00
Fractional positions:
Ho 0.000 0.000 0.192
Dy 0.500 0.500 0.500
H 0.500 0.500 0.000
Ho 0.000 0.000 0.808

[5]
A plane-wave DFT calculation with PBE was carried out for Ti2Re2Mo after structural relaxation.

* crystal system: orthorhombic
* density of states at the Fermi level: 3.79 states/eV/cell
* E_form: 22.7 meV per atom

a b c (Å): 3.053 3.072 9.211
angles (deg): 80.40 90.00 90.00
Fractional positions:
Ti 0.000 0.826 0.349
Re 0.500 0.411 0.178
Ti 0.000 0.174 0.651
Re 0.500 0.589 0.822
Mo 0.000 0.000 0.000

[6]
A plane-wave DFT calculation with PBE was carried out for Sm2Mn2C3 after structural relaxation.

* crystal system: monoclinic
* energy above the most stable polymorph in this dataset: 0 meV per atom
* density of states at the Fermi level: 5.54 states/eV/cell
* E_form: -249.5 meV per atom

a b c (Å): 3.477 5.631 5.377
angles (deg): 103.66 108.86 90.00
Last column: magnetic moment on the atom in μB.
Fractional positions:
Sm 0.604 0.816 0.207  0.00
Sm 0.396 0.184 0.793  0.00
Mn 0.841 0.601 0.682  0.14
C 0.296 0.714 0.592  -0.01
Mn 0.159 0.399 0.318  0.14
C 0.704 0.286 0.408  -0.01
C 0.000 0.500 0.000  -0.01